1.
Material: Pm8Pb2C
Method: DFT, GGA-PBE
State: optimized geometry

POSCAR file:
```
Pm8Pb2C
1.0
5.5659 0.0000 0.0000
0.0000 6.5425 -0.2975
-2.7829 -3.1555 8.9030
Pm C Pb
8 1 2
direct
0.2220 0.2908 0.4441 Pm
0.0017 0.7640 0.0034 Pm
0.6280 0.9589 0.2560 Pm
0.7780 0.7092 0.5559 Pm
0.4205 0.6013 0.8409 Pm
0.3720 0.0411 0.7440 Pm
0.5795 0.3987 0.1591 Pm
0.9983 0.2360 0.9966 Pm
0.5000 0.0000 0.0000 C
0.1720 0.7218 0.3440 Pb
0.8280 0.2782 0.6560 Pb
```

The formation energy comes out at -1.3 eV per formula unit.

2.
Material: ZnRuW2
Method: DFT, GGA-PBE
State: optimized geometry

POSCAR file:
```
ZnRuW2
1.0
-4.8540 -1.8536 -0.3985
-2.9275 -4.3065 -0.1983
-1.7924 -1.1013 3.7549
Zn W Ru
1 2 1
direct
0.7500 0.7500 0.7500 Zn
0.9936 0.9936 0.0064 W
0.5064 0.5064 0.4936 W
0.2500 0.2500 0.2500 Ru
```

The formation energy comes out at 0.5 eV per formula unit.

3.
Material: TbY3Pt
Method: DFT, GGA-PBE
State: optimized geometry

POSCAR file:
```
TbY3Pt
1.0
3.7133 0.0000 0.6102
1.8027 6.0944 0.6331
-0.1728 -0.5783 12.6556
Y Tb Pt
6 2 2
direct
0.4310 0.6231 0.5149 Y
0.7797 0.0488 0.3917 Y
0.9917 0.1038 0.9127 Y
0.4496 0.9462 0.1547 Y
0.7643 0.7184 0.7531 Y
0.0996 0.1712 0.6296 Y
0.1120 0.4965 0.2796 Tb
0.2221 0.5601 0.9958 Tb
0.4345 0.3484 0.7826 Pt
0.7763 0.3205 0.1269 Pt
```

The energy above the most stable polymorph in this dataset comes out at 0 meV/atom. The formation energy comes out at -2.7 eV per formula unit.

4.
Material: LaZrTa2
Method: DFT, GGA-PBE
State: optimized geometry

POSCAR file:
```
LaZrTa2
1.0
5.2269 0.0110 -0.0237
4.3754 2.8594 -0.0237
0.1254 0.0375 6.2313
La Ta Zr
1 2 1
direct
0.2500 0.2500 0.2500 La
0.4896 0.4896 0.5467 Ta
0.0104 0.0104 0.9533 Ta
0.7500 0.7500 0.7500 Zr
```

The energy above the most stable polymorph in this dataset comes out at 246 meV/atom. The formation energy comes out at 1.8 eV per formula unit.

5.
Material: Ac2Zn5Si3
Method: DFT, GGA-PBE
State: optimized geometry

POSCAR file:
```
Ac2Zn5Si3
1.0
1.1061 -4.7155 3.8732
6.9297 -4.5808 -2.5908
6.5769 1.8818 5.3777
Si Zn Ac
6 10 4
direct
0.7500 0.0000 0.0000 Si
0.6204 0.5177 0.2415 Si
0.2500 0.0000 0.0000 Si
0.8796 0.7585 0.4823 Si
0.1204 0.2415 0.5177 Si
0.3796 0.4823 0.7585 Si
0.9844 0.2656 0.2656 Zn
0.5156 0.7344 0.7344 Zn
0.0156 0.7344 0.7344 Zn
0.4844 0.2656 0.2656 Zn
0.3705 0.2480 0.0111 Zn
0.8705 0.0111 0.2480 Zn
0.6295 0.7520 0.9889 Zn
0.7500 0.5000 0.5000 Zn
0.2500 0.5000 0.5000 Zn
0.1295 0.9889 0.7520 Zn
0.3759 0.8851 0.3631 Ac
0.8759 0.3631 0.8851 Ac
0.1241 0.6369 0.1149 Ac
0.6241 0.1149 0.6369 Ac
```

The value obtained for the electronic total energy is -3.48 eV per atom.

6.
Material: Mg2BiS
Method: DFT, GGA-PBE
State: optimized geometry

POSCAR file:
```
Mg2BiS
1.0
6.5316 0.0000 0.0000
0.0000 6.5316 0.0000
3.2658 3.2658 5.4905
S Mg Bi
2 4 2
direct
0.5000 0.5000 0.0000 S
0.2500 0.7500 0.5000 S
0.5637 0.1250 0.2500 Mg
0.8750 0.8137 0.7500 Mg
0.3750 0.4363 0.7500 Mg
0.1863 0.6250 0.2500 Mg
0.0000 0.0000 0.0000 Bi
0.7500 0.2500 0.5000 Bi
```

The energy above the most stable polymorph in this dataset comes out at 158 meV/atom.

7.
Material: Ca2Zn2Pb
Method: DFT, GGA-PBE
State: optimized geometry

POSCAR file:
```
Ca2Zn2Pb
1.0
5.8523 0.0000 0.0000
0.0000 5.8523 0.0000
2.9261 2.9261 4.1461
Zn Ca Pb
2 2 1
direct
0.6427 0.6427 0.7146 Zn
0.3573 0.3573 0.2854 Zn
0.2500 0.7500 0.5000 Ca
0.7500 0.2500 0.5000 Ca
0.0000 0.0000 0.0000 Pb
```

The energy above the most stable polymorph in this dataset comes out at 244 meV/atom. The formation energy comes out at -0.6 eV per formula unit.

8.
Material: LiC6N4
Method: DFT, GGA-PBE
State: optimized geometry

POSCAR file:
```
LiC6N4
1.0
5.4536 0.0000 0.0000
0.0000 5.4836 -0.1281
0.0000 2.7722 12.2970
C N Li
12 8 2
direct
0.7684 0.8691 0.6068 C
0.9221 0.8214 0.3915 C
0.7684 0.1309 0.8932 C
0.2316 0.8691 0.1068 C
0.0389 0.0126 0.0532 C
0.9611 0.9874 0.9468 C
0.0389 0.9874 0.4468 C
0.0779 0.1786 0.6085 C
0.9611 0.0126 0.5532 C
0.0779 0.8214 0.8915 C
0.2316 0.1309 0.3932 C
0.9221 0.1786 0.1085 C
0.8236 0.3155 0.1552 N
0.3913 0.2518 0.3481 N
0.6087 0.2518 0.8481 N
0.6087 0.7482 0.6519 N
0.8236 0.6845 0.3448 N
0.1764 0.3155 0.6552 N
0.1764 0.6845 0.8448 N
0.3913 0.7482 0.1519 N
0.3833 0.5000 0.7500 Li
0.6167 0.5000 0.2500 Li
```

The value obtained for the electronic total energy is -8.00 eV per atom.

9.
Material: Pr6SbSe5
Method: DFT, GGA-PBE
State: optimized geometry

POSCAR file:
```
Pr6SbSe5
1.0
-2.8324 -3.5842 -5.9454
-7.0343 -2.0509 1.4547
-5.6493 4.6018 -1.6493
Se Sb Pr
5 1 6
direct
0.5000 0.1624 0.6752 Se
0.0000 0.6676 0.6647 Se
0.5000 0.8376 0.3248 Se
0.0000 0.3324 0.3353 Se
0.5000 0.5000 0.0000 Se
0.0000 0.0000 0.0000 Sb
0.2577 0.5736 0.3400 Pr
0.7423 0.0864 0.3400 Pr
0.2577 0.9136 0.6600 Pr
0.7423 0.4264 0.6600 Pr
0.7461 0.7431 0.0000 Pr
0.2539 0.2569 0.0000 Pr
```

The value obtained for the electronic total energy is -5.92 eV per atom.

10.
Material: Dy4Ge3Au
Method: DFT, GGA-PBE
State: optimized geometry

POSCAR file:
```
Dy4Ge3Au
1.0
-3.5394 2.1143 -0.7873
-2.1816 -3.0114 1.7202
0.8031 4.9506 9.6850
Dy Ge Au
4 3 1
direct
0.0000 0.5000 0.8598 Dy
0.5000 0.5000 0.3638 Dy
0.0000 0.0000 0.1389 Dy
0.5000 0.0000 0.6372 Dy
0.0000 0.5000 0.5883 Ge
0.5000 0.0000 0.9123 Ge
0.0000 0.0000 0.4156 Ge
0.5000 0.5000 0.0841 Au
```

The formation energy comes out at -6.8 eV per formula unit.

11.
Material: SiBAuC
Method: DFT, GGA-PBE
State: optimized geometry

POSCAR file:
```
SiBAuC
1.0
-1.2983 2.9210 -2.6909
-2.9505 -0.8284 0.5243
-0.4664 5.9507 6.7770
B Au C Si
2 2 2 2
direct
0.3155 0.5000 0.1803 B
0.3155 0.0000 0.6803 B
0.8141 0.0000 0.6081 Au
0.8141 0.5000 0.1081 Au
0.3120 0.0000 0.8441 C
0.3120 0.5000 0.3441 C
0.3120 0.0000 0.4512 Si
0.3120 0.5000 0.9512 Si
```

The energy above the most stable polymorph in this dataset comes out at 192 meV/atom.

12.
Material: Pr2CuAg2
Method: DFT, GGA-PBE
State: optimized geometry

POSCAR file:
```
Pr2CuAg2
1.0
4.1126 0.0000 0.8812
2.0605 5.3814 0.4209
-0.2121 -0.9376 11.0268
Ag Cu Pr
4 2 4
direct
0.3605 0.1650 0.1140 Ag
0.8937 0.7653 0.4474 Ag
0.1063 0.2347 0.5526 Ag
0.6395 0.8350 0.8860 Ag
0.3862 0.9066 0.3210 Cu
0.6138 0.0934 0.6790 Cu
0.3326 0.6733 0.6614 Pr
0.6674 0.3267 0.3386 Pr
0.9270 0.2637 0.8823 Pr
0.0730 0.7363 0.1177 Pr
```

The formation energy comes out at -1.1 eV per formula unit.

13.
Material: Ca2SbAs
Method: DFT, GGA-PBE
State: optimized geometry

POSCAR file:
```
Ca2SbAs
1.0
5.4728 0.0010 0.0000
0.8153 5.4117 0.0000
-3.1440 -2.7064 3.5696
Ca As Sb
2 1 1
direct
0.0000 0.0000 0.0000 Ca
0.5000 0.5000 0.0000 Ca
0.7500 0.2500 0.5000 As
0.2500 0.7500 0.5000 Sb
```

The value obtained for the electronic total energy is -4.02 eV per atom.